(1)
Y5SbTe4 after structural relaxation, computed with PBE-GGA.

Geometry as POSCAR:
```
Y5SbTe4
1.0
-0.6562 -0.5330 -4.2690
0.1913 -4.3177 0.5097
-15.1925 2.0276 4.3002
Y Te Sb
5 4 1
Cartesian
-6.5960 -2.5894 -0.8810
-12.7163 -2.7472 0.0794
-2.9410 -0.0758 0.4615
-9.0614 -0.2336 1.4220
-0.2324 -2.4254 -1.8796
-6.0372 -0.1557 0.9474
-3.4025 -2.5071 -1.3822
-9.6202 -2.6674 -0.4065
-12.2548 -0.3160 1.9231
0.0000 0.0000 0.0000
```

Values from the calculation:
DOS(E_F) = 5.78 states/eV/cell
E_tot = -6.203 eV/atom
Symmetry = I4/mmm (139)



(2)
TaHg after structural relaxation, computed with PBE-GGA.

Geometry as POSCAR:
```
TaHg
1.0
3.9493 0.0000 0.0000
1.9746 3.4202 0.0000
1.9746 1.1401 3.2246
Hg Ta
1 1
Cartesian
0.0000 0.0000 0.0000
3.9493 2.2801 1.6123
```

Values from the calculation:
DOS(E_F) = 1.52 states/eV/cell
Calculated formation energy = 2.2 eV per formula unit
Symmetry = Fm-3m (225)